Compound: La6Si2SbBr3
Source: Alexandria via LeMat-Bulk
Functional: PBE-GGA
Structure: relaxed

Cell lengths 9.9565, 9.9565, 8.9371 Å; angles 102.51, 102.51, 25.77 degrees
Atoms (fractional coordinates):
La 0.0135 0.0135 0.2570
La 0.3262 0.3262 0.4325
La 0.3308 0.3308 0.8833
La 0.6692 0.6692 0.1167
La 0.6738 0.6738 0.5675
La 0.9865 0.9865 0.7430
Si 0.1683 0.1683 0.3370
Si 0.8317 0.8317 0.6630
Sb 0.5000 0.5000 0.0000
Br 0.1632 0.1632 0.8347
Br 0.5000 0.5000 0.5000
Br 0.8368 0.8368 0.1653

ΔE_f (raw) = -1.22 eV/atom
density = 5.53 Mg/m³
total moment = 0.0 μB/f.u.

Compound: AcHfRh2
Source: Alexandria via LeMat-Bulk
Functional: PBE-GGA
Structure: relaxed

Cell lengths 6.1679, 6.1679, 6.1679 Å; angles 41.43, 41.43, 41.43 degrees
Atoms (fractional coordinates):
Ac 0.0000 0.0000 0.0000
Hf 0.5000 0.5000 0.5000
Rh 0.2178 0.2178 0.2178
Rh 0.7822 0.7822 0.7822

energy of formation = -0.6868 eV/atom
density = 10.93 Mg/m³
E above lowest polymorph = 0.000 eV/atom
total moment = 0.0 μB/f.u.

Compound: Tb4YEr2Sc
Source: Alexandria via LeMat-Bulk
Functional: PBE-GGA
Structure: relaxed

Cell lengths 4.9777, 4.9777, 9.8791 Å; angles 90.00, 90.00, 90.00 degrees
Atoms (fractional coordinates):
Tb 0.0000 0.5000 0.2439
Tb 0.0000 0.5000 0.7561
Tb 0.5000 0.0000 0.2439
Tb 0.5000 0.0000 0.7561
Y 0.0000 0.0000 0.5000
Er 0.0000 0.0000 0.0000
Er 0.5000 0.5000 0.5000
Sc 0.5000 0.5000 0.0000

energy of formation = 0.0317 eV/atom
density = 7.49 Mg/m³
total moment = 0.0 μB/f.u.

Compound: Mg3ZnMo
Source: Alexandria via LeMat-Bulk
Functional: PBE-GGA
Structure: relaxed

Cell lengths 4.7447, 4.7447, 4.7447 Å; angles 90.00, 90.00, 90.00 degrees
Atoms (fractional coordinates):
Mg 0.0000 0.0000 0.5000
Mg 0.0000 0.5000 0.0000
Mg 0.5000 0.0000 0.0000
Zn 0.0000 0.0000 0.0000
Mo 0.5000 0.5000 0.5000

energy of formation = 0.9735 eV/atom
density = 3.64 Mg/m³
E above lowest polymorph = 0.000 eV/atom
total moment = 0.0 μB/f.u.

Compound: BaP2Br
Source: Alexandria via LeMat-Bulk
Functional: PBE-GGA
Structure: relaxed

Cell lengths 8.6670, 8.6670, 8.6670 Å; angles 28.64, 28.64, 28.64 degrees
Atoms (fractional coordinates):
Ba 0.0000 0.0000 0.0000
P 0.2364 0.2364 0.2364
P 0.5694 0.5694 0.5694
Br 0.7461 0.7461 0.7461

ΔE_f (raw) = -0.73 eV/atom
density = 3.51 Mg/m³
E above lowest polymorph = 0.104 eV/atom
total moment = 0.0 μB/f.u.

Compound: SrSnC3
Source: Alexandria via LeMat-Bulk
Functional: PBE-GGA
Structure: relaxed

Cell lengths 4.3932, 4.3932, 4.3932 Å; angles 90.00, 90.00, 90.00 degrees
Atoms (fractional coordinates):
Sr 0.0000 0.0000 0.0000
Sn 0.5000 0.5000 0.5000
C 0.0000 0.5000 0.5000
C 0.5000 0.0000 0.5000
C 0.5000 0.5000 0.0000

energy of formation = 2.0127 eV/atom
density = 4.75 Mg/m³
E above lowest polymorph = 0.000 eV/atom
total moment = 0.0 μB/f.u.

Compound: Be3GaCl
Source: Alexandria via LeMat-Bulk
Functional: PBE-GGA
Structure: relaxed

Cell lengths 4.3788, 4.3788, 4.3788 Å; angles 90.00, 90.00, 90.00 degrees
Atoms (fractional coordinates):
Be 0.0000 0.0000 0.5000
Be 0.0000 0.5000 0.0000
Be 0.5000 0.0000 0.0000
Ga 0.0000 0.0000 0.0000
Cl 0.5000 0.5000 0.5000

ΔE_f (raw) = 0.57 eV/atom
density = 2.61 Mg/m³
E above lowest polymorph = 0.000 eV/atom
total moment = 0.0 μB/f.u.

Compound: ZrHSeBr
Source: Alexandria via LeMat-Bulk
Functional: PBE-GGA
Structure: relaxed

Cell lengths 7.5197, 7.5197, 7.5197 Å; angles 27.81, 27.81, 27.81 degrees
Atoms (fractional coordinates):
Zr 0.0000 0.0000 0.0000
H 0.6635 0.6635 0.6635
Se 0.4138 0.4138 0.4138
Br 0.2441 0.2441 0.2441

uncorrected energy = -5.3996 eV/atom
density = 5.10 Mg/m³
total moment = 0.0 μB/f.u.

Compound: Nd4SbP2
Source: Alexandria via LeMat-Bulk
Functional: PBE-GGA
Structure: relaxed

Cell lengths 7.1793, 7.1793, 13.9624 Å; angles 90.00, 90.00, 145.57 degrees
Atoms (fractional coordinates):
Nd 0.0000 0.0000 0.0000
Nd 0.0000 0.0000 0.5000
Nd 0.2667 0.7333 0.6158
Nd 0.2667 0.7333 0.8842
Nd 0.4405 0.5595 0.2500
Nd 0.5595 0.4405 0.7500
Nd 0.7333 0.2667 0.1158
Nd 0.7333 0.2667 0.3842
Sb 0.1075 0.8925 0.2500
Sb 0.8925 0.1075 0.7500
P 0.3644 0.6356 0.0608
P 0.3644 0.6356 0.4392
P 0.6356 0.3644 0.5608
P 0.6356 0.3644 0.9392

ΔE_f (raw) = -1.25 eV/atom
density = 6.21 Mg/m³
total moment = 0.6 μB/f.u.

Compound: Ba3TmTe2O9
Source: Alexandria via LeMat-Bulk
Functional: PBE-GGA
Structure: relaxed

Cell lengths 6.0863, 6.0863, 7.4634 Å; angles 90.00, 90.00, 120.00 degrees
Atoms (fractional coordinates):
Ba 0.0000 0.0000 0.0000
Ba 0.3333 0.6667 0.6759
Ba 0.6667 0.3333 0.3241
Tm 0.0000 0.0000 0.5000
Te 0.3333 0.6667 0.1743
Te 0.6667 0.3333 0.8257
O 0.0000 0.5000 0.0000
O 0.1728 0.3455 0.3318
O 0.1728 0.8272 0.3318
O 0.3455 0.1728 0.6682
O 0.5000 0.0000 0.0000
O 0.5000 0.5000 0.0000
O 0.6545 0.8272 0.3318
O 0.8272 0.1728 0.6682
O 0.8272 0.6545 0.6682

ΔE_f (raw) = -2.25 eV/atom
density = 6.80 Mg/m³
total moment = 0.0 μB/f.u.

Compound: LaMo2Os
Source: Alexandria via LeMat-Bulk
Functional: PBE-GGA
Structure: relaxed

Cell lengths 6.1830, 6.1830, 6.1830 Å; angles 102.50, 102.50, 124.55 degrees
Atoms (fractional coordinates):
La 0.0000 0.0000 0.0000
La 0.7500 0.2500 0.5000
Mo 0.1896 0.1250 0.5646
Mo 0.3750 0.8104 0.9354
Mo 0.5604 0.6250 0.4354
Mo 0.8750 0.4396 0.0646
Os 0.2500 0.7500 0.5000
Os 0.5000 0.5000 0.0000

energy of formation = 0.7447 eV/atom
density = 10.04 Mg/m³
E above lowest polymorph = 0.391 eV/atom
total moment = 0.0 μB/f.u.

Compound: Na10B13C7
Source: Alexandria via LeMat-Bulk
Functional: PBE-GGA
Structure: relaxed

Cell lengths 9.0199, 9.0199, 13.2426 Å; angles 113.24, 113.24, 18.05 degrees
Atoms (fractional coordinates):
Na 0.0000 0.0000 0.0000
Na 0.0002 0.0002 0.4973
Na 0.1989 0.1989 0.4000
Na 0.2010 0.2010 0.9003
Na 0.4002 0.4002 0.7991
Na 0.4005 0.4005 0.2993
Na 0.5986 0.5986 0.2012
Na 0.6017 0.6017 0.6981
Na 0.7980 0.7980 0.6001
Na 0.8021 0.8021 0.1011
B 0.0274 0.0274 0.8029
B 0.0303 0.0303 0.3113
B 0.1679 0.1679 0.5848
B 0.1770 0.1770 0.1041
B 0.2404 0.2404 0.7287
B 0.3640 0.3640 0.4771
B 0.4333 0.4333 0.1176
B 0.5690 0.5690 0.8869
B 0.6274 0.6274 0.5040
B 0.6346 0.6346 0.0187
B 0.7701 0.7701 0.2897
B 0.8373 0.8373 0.9236
B 0.9583 0.9583 0.6657
C 0.2381 0.2381 0.2263
C 0.3686 0.3686 0.9871
C 0.4275 0.4275 0.6052
C 0.5628 0.5628 0.3759
C 0.7723 0.7723 0.7917
C 0.8337 0.8337 0.4154
C 0.9650 0.9650 0.1818

energy of formation = 0.0885 eV/atom
density = 2.47 Mg/m³
E above lowest polymorph = 0.003 eV/atom
total moment = 0.0 μB/f.u.

Compound: Np2Ge4Mo3
Source: Alexandria via LeMat-Bulk
Functional: PBE-GGA
Structure: relaxed

Cell lengths 7.0130, 7.0191, 6.9671 Å; angles 90.00, 110.05, 90.00 degrees
Atoms (fractional coordinates):
Np 0.1814 0.1601 0.0496
Np 0.1814 0.3399 0.5496
Np 0.8186 0.6601 0.4504
Np 0.8186 0.8399 0.9504
Ge 0.0948 0.5469 0.8670
Ge 0.0948 0.9531 0.3670
Ge 0.5000 0.1404 0.8617
Ge 0.5000 0.3596 0.3617
Ge 0.5000 0.6404 0.6383
Ge 0.5000 0.8596 0.1383
Ge 0.9052 0.0469 0.6330
Ge 0.9052 0.4531 0.1330
Mo 0.2485 0.6582 0.2535
Mo 0.2485 0.8418 0.7535
Mo 0.5000 0.0000 0.5000
Mo 0.5000 0.5000 0.0000
Mo 0.7515 0.1582 0.2465
Mo 0.7515 0.3418 0.7465

energy of formation = -0.2188 eV/atom
density = 10.85 Mg/m³
total moment = 7.1 μB/f.u.

Compound: KNaCdOs2
Source: Alexandria via LeMat-Bulk
Functional: PBE-GGA
Structure: relaxed

Cell lengths 4.8309, 4.8309, 5.5702 Å; angles 90.00, 90.00, 90.00 degrees
Atoms (fractional coordinates):
K 0.0000 0.0000 0.0000
Na 0.5000 0.5000 0.5000
Cd 0.0000 0.0000 0.5000
Os 0.0000 0.5000 0.0000
Os 0.5000 0.0000 0.0000

energy of formation = 2.7770 eV/atom
density = 7.09 Mg/m³
total moment = 2.3 μB/f.u.

Compound: GdDyYZr
Source: Alexandria via LeMat-Bulk
Functional: PBE-GGA
Structure: relaxed

Cell lengths 5.4960, 5.4960, 5.4960 Å; angles 60.00, 60.00, 60.00 degrees
Atoms (fractional coordinates):
Gd 0.0000 0.0000 0.0000
Dy 0.5000 0.5000 0.5000
Y 0.7500 0.7500 0.7500
Zr 0.2500 0.2500 0.2500

energy of formation = 0.2261 eV/atom
density = 7.07 Mg/m³
total moment = 5.7 μB/f.u.

Compound: KBaZnRu2
Source: Alexandria via LeMat-Bulk
Functional: PBE-GGA
Structure: relaxed

Cell lengths 5.2300, 5.2300, 6.2545 Å; angles 90.00, 90.00, 90.00 degrees
Atoms (fractional coordinates):
K 0.0000 0.0000 0.0000
Ba 0.5000 0.5000 0.5000
Zn 0.5000 0.5000 0.0000
Ru 0.0000 0.5000 0.5000
Ru 0.5000 0.0000 0.5000

energy of formation = 1.6660 eV/atom
density = 4.31 Mg/m³
total moment = 2.3 μB/f.u.

Compound: Sm2YTh
Source: Alexandria via LeMat-Bulk
Functional: PBE-GGA
Structure: relaxed

Cell lengths 6.2500, 6.2500, 6.2500 Å; angles 131.92, 131.92, 70.35 degrees
Atoms (fractional coordinates):
Sm 0.2500 0.7500 0.5000
Sm 0.7500 0.2500 0.5000
Y 0.0000 0.0000 0.0000
Th 0.5000 0.5000 0.0000

energy of formation = 0.0638 eV/atom
density = 7.79 Mg/m³
E above lowest polymorph = 0.046 eV/atom
total moment = 0.0 μB/f.u.

Compound: TiAgSb2
Source: Alexandria via LeMat-Bulk
Functional: PBE-GGA
Structure: relaxed

Cell lengths 9.7244, 9.7244, 9.7244 Å; angles 19.89, 19.89, 19.89 degrees
Atoms (fractional coordinates):
Ti 0.0000 0.0000 0.0000
Ag 0.5000 0.5000 0.5000
Sb 0.4049 0.4049 0.4049
Sb 0.5951 0.5951 0.5951

ΔE_f (raw) = -0.09 eV/atom
density = 7.12 Mg/m³
total moment = 0.0 μB/f.u.

Compound: Ce2YPa
Source: Alexandria via LeMat-Bulk
Functional: PBE-GGA
Structure: relaxed

Cell lengths 5.4304, 5.4304, 5.4304 Å; angles 60.00, 60.00, 60.00 degrees
Atoms (fractional coordinates):
Ce 0.2500 0.2500 0.2500
Ce 0.7500 0.7500 0.7500
Y 0.0000 0.0000 0.0000
Pa 0.5000 0.5000 0.5000

energy of formation = 0.3684 eV/atom
density = 8.80 Mg/m³
E above lowest polymorph = 0.281 eV/atom
total moment = 2.7 μB/f.u.

Compound: Ce2AlHg
Source: Alexandria via LeMat-Bulk
Functional: PBE-GGA
Structure: relaxed

Cell lengths 12.0565, 12.0565, 12.0565 Å; angles 14.67, 14.67, 14.67 degrees
Atoms (fractional coordinates):
Ce 0.0866 0.0866 0.0866
Ce 0.9134 0.9134 0.9134
Al 0.0000 0.0000 0.0000
Hg 0.5000 0.5000 0.5000

energy of formation = 0.1246 eV/atom
density = 8.62 Mg/m³
E above lowest polymorph = 0.445 eV/atom
total moment = 0.0 μB/f.u.

Compound: Ac3Pm3DySe8
Source: Alexandria via LeMat-Bulk
Functional: PBE-GGA
Structure: relaxed

Cell lengths 8.7004, 8.7004, 8.7004 Å; angles 58.63, 58.63, 58.63 degrees
Atoms (fractional coordinates):
Ac 0.0000 0.5000 0.5000
Ac 0.5000 0.0000 0.5000
Ac 0.5000 0.5000 0.0000
Pm 0.0000 0.0000 0.5000
Pm 0.0000 0.5000 0.0000
Pm 0.5000 0.0000 0.0000
Dy 0.5000 0.5000 0.5000
Se 0.2441 0.2441 0.2441
Se 0.2475 0.7414 0.7414
Se 0.2586 0.2586 0.7525
Se 0.2586 0.7525 0.2586
Se 0.7414 0.2475 0.7414
Se 0.7414 0.7414 0.2475
Se 0.7525 0.2586 0.2586
Se 0.7559 0.7559 0.7559

ΔE_f (raw) = -1.88 eV/atom
density = 7.03 Mg/m³
total moment = 0.0 μB/f.u.

Compound: Na2Pd3S2
Source: Alexandria via LeMat-Bulk
Functional: PBE-GGA
Structure: relaxed

Cell lengths 5.4365, 5.4365, 7.1175 Å; angles 115.28, 115.28, 41.28 degrees
Atoms (fractional coordinates):
Na 0.1314 0.1314 0.2783
Na 0.8686 0.8686 0.7217
Pd 0.3656 0.3656 0.0525
Pd 0.5000 0.5000 0.5000
Pd 0.6344 0.6344 0.9475
S 0.1527 0.1527 0.7118
S 0.8473 0.8473 0.2882

ΔE_f (raw) = -0.41 eV/atom
density = 5.77 Mg/m³
total moment = 0.0 μB/f.u.

Compound: BaAcPr2
Source: Alexandria via LeMat-Bulk
Functional: PBE-GGA
Structure: relaxed

Cell lengths 6.2339, 6.2339, 6.2339 Å; angles 60.00, 60.00, 60.00 degrees
Atoms (fractional coordinates):
Ba 0.0000 0.0000 0.0000
Ac 0.5000 0.5000 0.5000
Pr 0.2500 0.2500 0.2500
Pr 0.7500 0.7500 0.7500

energy of formation = 0.2158 eV/atom
density = 6.26 Mg/m³
E above lowest polymorph = 0.115 eV/atom
total moment = 0.3 μB/f.u.

Compound: SrIrAu3
Source: Alexandria via LeMat-Bulk
Functional: PBE-GGA
Structure: relaxed

Cell lengths 5.5309, 5.5309, 5.5309 Å; angles 90.00, 90.00, 90.00 degrees
Atoms (fractional coordinates):
Sr 0.0000 0.0000 0.0000
Ir 0.5000 0.5000 0.5000
Au 0.0000 0.0000 0.5000
Au 0.0000 0.5000 0.0000
Au 0.5000 0.0000 0.0000

energy of formation = 1.6774 eV/atom
density = 8.55 Mg/m³
E above lowest polymorph = 1.640 eV/atom
total moment = 2.4 μB/f.u.